[1]
DFT (PBE) results for a relaxed Sr3Pa2TiP6 crystal.

Values from the calculation:
Space-group type ... C2/m, No. 12

a b c (Å): 6.967 6.967 7.277
angles (deg): 99.20 99.20 120.01
Each line ends with the local moment (μB).
Sites, in units of the cell vectors:
Sr: 0.168 0.832 0.500  0.00
Sr: 0.832 0.168 0.500  0.00
Sr: 0.500 0.500 0.500  0.00
Pa: 0.334 0.666 0.000  0.03
Pa: 0.666 0.334 0.000  0.03
Ti: 0.000 0.000 0.000  0.06
P: 0.931 0.609 0.791  0.00
P: 0.749 0.749 0.210  0.00
P: 0.069 0.391 0.209  0.00
P: 0.609 0.931 0.791  0.00
P: 0.251 0.251 0.790  0.00
P: 0.391 0.069 0.209  0.00

[2]
DFT (PBE) results for a relaxed Sr2UPaP4 crystal.

Values from the calculation:
Space-group type ... P2/m, No. 10

a b c (Å): 4.124 7.139 7.334
angles (deg): 108.98 90.00 90.00
Each line ends with the local moment (μB).
Sites, in units of the cell vectors:
Sr: 0.500 0.000 0.500  0.01
Sr: 0.000 0.500 0.500  0.01
U: 0.000 0.000 0.000  2.07
Pa: 0.500 0.500 0.000  0.39
P: 0.500 0.239 0.214  -0.05
P: 0.500 0.761 0.786  -0.05
P: 0.000 0.263 0.786  -0.03
P: 0.000 0.737 0.214  -0.03

[3]
DFT (PBE) results for a relaxed Sr3U2PaP6 crystal.

Values from the calculation:
Space-group type ... C2/m, No. 12

a b c (Å): 7.135 7.135 7.334
angles (deg): 99.33 99.33 120.00
Each line ends with the local moment (μB).
Sites, in units of the cell vectors:
Sr: 0.167 0.833 0.500  0.01
Sr: 0.833 0.167 0.500  0.01
Sr: 0.500 0.500 0.500  0.01
U: 0.333 0.667 0.000  2.05
U: 0.667 0.333 0.000  2.05
Pa: 0.000 0.000 0.000  0.30
P: 0.929 0.596 0.787  -0.05
P: 0.739 0.739 0.213  -0.05
P: 0.071 0.404 0.213  -0.05
P: 0.596 0.929 0.787  -0.05
P: 0.261 0.261 0.787  -0.05
P: 0.404 0.071 0.213  -0.05

[4]
DFT (PBE) results for a relaxed Sr3YPa2P6 crystal.

Values from the calculation:
Space-group type ... C2/m, No. 12

a b c (Å): 7.162 7.162 7.333
angles (deg): 99.37 99.37 119.99
Sites, in units of the cell vectors:
Sr: 0.165 0.835 0.500
Sr: 0.835 0.165 0.500
Sr: 0.500 0.500 0.500
Y: 0.000 0.000 0.000
Pa: 0.333 0.667 0.000
Pa: 0.667 0.333 0.000
P: 0.928 0.585 0.784
P: 0.729 0.729 0.216
P: 0.072 0.415 0.216
P: 0.585 0.928 0.784
P: 0.271 0.271 0.784
P: 0.415 0.072 0.216

[5]
DFT (PBE) results for a relaxed Sr2YPaP4 crystal.

Values from the calculation:
Space-group type ... P2/m, No. 10

a b c (Å): 4.176 7.143 7.350
angles (deg): 108.94 90.00 90.00
Sites, in units of the cell vectors:
Sr: 0.500 0.000 0.500
Sr: 0.000 0.500 0.500
Y: 0.000 0.000 0.000
Pa: 0.500 0.500 0.000
P: 0.500 0.250 0.217
P: 0.500 0.750 0.783
P: 0.000 0.270 0.785
P: 0.000 0.730 0.215

[6]
DFT (PBE) results for a relaxed Sr4Pa3ZnP8 crystal.

Values from the calculation:
Space-group type ... R-3m, No. 166

a b c (Å): 8.235 8.358 8.237
angles (deg): 119.52 119.99 90.00
Sites, in units of the cell vectors:
Sr: 0.500 0.000 0.000
Sr: 0.500 0.000 0.500
Sr: 0.000 0.000 0.000
Sr: 0.000 0.000 0.500
Pa: 0.500 0.500 0.000
Pa: 0.500 0.500 0.500
Pa: 0.000 0.500 0.500
Zn: 0.000 0.500 0.000
P: 0.239 0.710 0.971
P: 0.240 0.711 0.479
P: 0.261 0.284 0.523
P: 0.732 0.710 0.971
P: 0.268 0.290 0.029
P: 0.739 0.716 0.477
P: 0.760 0.289 0.521
P: 0.761 0.290 0.029

[7]
DFT (PBE) results for a relaxed Sr3ZrPa2P6 crystal.

Values from the calculation:
Space-group type ... C2/m, No. 12

a b c (Å): 7.032 7.032 7.300
angles (deg): 99.23 99.23 120.00
Sites, in units of the cell vectors:
Sr: 0.167 0.833 0.500
Sr: 0.833 0.167 0.500
Sr: 0.500 0.500 0.500
Zr: 0.000 0.000 0.000
Pa: 0.333 0.667 0.000
Pa: 0.667 0.333 0.000
P: 0.929 0.600 0.787
P: 0.742 0.742 0.214
P: 0.071 0.400 0.213
P: 0.600 0.929 0.787
P: 0.258 0.258 0.786
P: 0.400 0.071 0.213

[8]
DFT (PBE) results for a relaxed Sr2ZrPaP4 crystal.

Values from the calculation:
Space-group type ... P2/m, No. 10

a b c (Å): 4.048 6.942 7.289
angles (deg): 108.50 90.00 90.00
Sites, in units of the cell vectors:
Sr: 0.500 0.000 0.500
Sr: 0.000 0.500 0.500
Zr: 0.000 0.000 0.000
Pa: 0.500 0.500 0.000
P: 0.500 0.234 0.212
P: 0.500 0.766 0.788
P: 0.000 0.257 0.786
P: 0.000 0.743 0.214

[9]
DFT (PBE) results for a relaxed Pa2TaP crystal.

Values from the calculation:
Space-group type ... R-3m, No. 166

a b c (Å): 3.299 3.299 9.726
angles (deg): 80.23 80.23 60.00
Sites, in units of the cell vectors:
P: 0.500 0.500 0.500
Pa: 0.098 0.098 0.706
Pa: 0.902 0.902 0.294
Ta: 0.000 0.000 0.000

[10]
DFT (PBE) results for a relaxed PaTaP crystal.

Values from the calculation:
Polymorph energy (0 for the lowest one) ... 0.115 eV per atom
Space-group type ... P-6m2, No. 187

a b c (Å): 3.687 4.342 4.342
angles (deg): 120.00 90.00 90.00
Sites, in units of the cell vectors:
P: 0.167 0.000 0.000
Pa: 0.667 0.667 0.333
Ta: 0.167 0.333 0.667

[11]
DFT (PBE) results for a relaxed PaTaP crystal.

Values from the calculation:
Polymorph energy (0 for the lowest one) ... 0.000 eV per atom
Space-group type ... I4mm, No. 107

a b c (Å): 3.261 3.261 5.867
angles (deg): 106.14 106.14 90.00
Each line ends with the local moment (μB).
Sites, in units of the cell vectors:
P: 0.307 0.307 0.613  -0.01
Pa: 0.993 0.993 0.986  0.32
Ta: 0.700 0.700 0.400  0.01

[12]
DFT (PBE) results for a relaxed TbPa2P4 crystal.

Values from the calculation:
Space-group type ... Cmcm, No. 63

a b c (Å): 3.955 6.935 12.674
angles (deg): 90.00 90.00 106.57
Sites, in units of the cell vectors:
Tb: 0.616 0.231 0.750
Tb: 0.384 0.769 0.250
Pa: 0.130 0.261 0.434
Pa: 0.870 0.739 0.934
Pa: 0.130 0.261 0.066
Pa: 0.870 0.739 0.566
P: 0.767 0.533 0.124
P: 0.767 0.533 0.376
P: 0.233 0.467 0.876
P: 0.233 0.467 0.624
P: 0.967 0.934 0.750
P: 0.033 0.066 0.250
P: 0.500 0.000 0.000
P: 0.500 0.000 0.500

[13]
DFT (PBE) results for a relaxed Tb2PaP3 crystal.

Values from the calculation:
Space-group type ... Immm, No. 71

a b c (Å): 4.008 5.645 6.927
angles (deg): 114.04 106.83 90.00
Sites, in units of the cell vectors:
Tb: 0.168 0.668 0.336
Tb: 0.832 0.332 0.664
Pa: 0.500 0.000 0.000
P: 0.500 0.500 0.000
P: 0.162 0.162 0.323
P: 0.838 0.838 0.677

[14]
DFT (PBE) results for a relaxed TbTh2PaP4 crystal.

Values from the calculation:
Space-group type ... P2/m, No. 10

a b c (Å): 4.071 7.038 7.049
angles (deg): 109.48 90.00 90.00
Sites, in units of the cell vectors:
Tb: 0.000 0.000 0.000
Th: 0.500 0.000 0.500
Th: 0.000 0.500 0.500
Pa: 0.500 0.500 0.000
P: 0.500 0.251 0.240
P: 0.500 0.749 0.760
P: 0.000 0.256 0.763
P: 0.000 0.744 0.237

[15]
DFT (PBE) results for a relaxed TbTmPa2P4 crystal.

Values from the calculation:
Space-group type ... P2/m, No. 10

a b c (Å): 3.974 6.871 6.883
angles (deg): 70.49 90.00 90.00
Sites, in units of the cell vectors:
Tb: 0.500 0.500 0.000
Tm: 0.000 0.500 0.500
Pa: 0.000 0.000 0.000
Pa: 0.500 0.000 0.500
P: 0.000 0.753 0.747
P: 0.000 0.247 0.253
P: 0.500 0.751 0.252
P: 0.500 0.249 0.748

[16]
DFT (PBE) results for a relaxed TbTm2Pa3P6 crystal.

Values from the calculation:
Space-group type ... C2/m, No. 12

a b c (Å): 6.872 6.872 6.859
angles (deg): 99.61 99.61 120.01
Sites, in units of the cell vectors:
Tb: 0.000 0.000 0.000
Tm: 0.333 0.667 0.000
Tm: 0.667 0.333 0.000
Pa: 0.166 0.834 0.500
Pa: 0.834 0.166 0.500
Pa: 0.500 0.500 0.500
P: 0.916 0.580 0.748
P: 0.747 0.747 0.251
P: 0.084 0.420 0.252
P: 0.580 0.916 0.748
P: 0.253 0.253 0.749
P: 0.420 0.084 0.252

[17]
DFT (PBE) results for a relaxed Tb2UPaP4 crystal.

Values from the calculation:
Space-group type ... P2/m, No. 10

a b c (Å): 3.977 6.889 6.937
angles (deg): 109.34 90.00 90.00
Each line ends with the local moment (μB).
Sites, in units of the cell vectors:
Tb: 0.500 0.000 0.500  0.01
Tb: 0.000 0.500 0.500  0.01
U: 0.000 0.000 0.000  2.04
Pa: 0.500 0.500 0.000  0.28
P: 0.500 0.247 0.243  -0.04
P: 0.500 0.753 0.757  -0.04
P: 0.000 0.251 0.756  -0.02
P: 0.000 0.749 0.244  -0.02

[18]
DFT (PBE) results for a relaxed Tb2YPaP4 crystal.

Values from the calculation:
Space-group type ... P2/m, No. 10

a b c (Å): 4.009 6.923 6.930
angles (deg): 109.46 90.00 90.00
Sites, in units of the cell vectors:
Tb: 0.500 0.000 0.500
Tb: 0.000 0.500 0.500
Y: 0.000 0.000 0.000
Pa: 0.500 0.500 0.000
P: 0.500 0.253 0.246
P: 0.500 0.747 0.754
P: 0.000 0.254 0.755
P: 0.000 0.746 0.245

[19]
DFT (PBE) results for a relaxed TbZrPa2P4 crystal.

Values from the calculation:
Space-group type ... P2/m, No. 10

a b c (Å): 3.943 6.810 6.748
angles (deg): 109.74 90.00 90.00
Sites, in units of the cell vectors:
Tb: 0.500 0.500 0.000
Zr: 0.000 0.000 0.000
Pa: 0.500 0.000 0.500
Pa: 0.000 0.500 0.500
P: 0.500 0.242 0.243
P: 0.500 0.758 0.757
P: 0.000 0.244 0.752
P: 0.000 0.756 0.248

[20]
DFT (PBE) results for a relaxed Tb2ZrPaP4 crystal.

Values from the calculation:
Space-group type ... P2/m, No. 10

a b c (Å): 3.936 6.787 6.837
angles (deg): 109.26 90.00 90.00
Sites, in units of the cell vectors:
Tb: 0.500 0.000 0.500
Tb: 0.000 0.500 0.500
Zr: 0.000 0.000 0.000
Pa: 0.500 0.500 0.000
P: 0.500 0.242 0.236
P: 0.500 0.758 0.764
P: 0.000 0.247 0.759
P: 0.000 0.753 0.241

ΔE_f (computed, meV/atom): -1143; -1124; -1093; -1301; -1321; -1014; -1234; -1233; 114; -363; -478; -1062; -1519; -1503; -1450; -1449; -1369; -1552; -1396; -1471